(1)
Entry from the Alexandria database: a geometry-optimized CuI2O2 structure (PBE).

Values from the calculation:
The formation energy (no corrections) is 681 meV per atom. As for the space group: P4/mmm. The total energy comes out at -2.74 eV per atom. As for the crystal system: tetragonal. For the size of the total moment, the calculation gives 1.32 μB per cell. The calculation puts the polymorph energy (0 for the lowest one) at 267 kJ/mol of formula units.

Lattice parameters (Å, degrees): 5.519 5.519 3.516 90.00 90.00 90.00
Fractional coordinates of all 5 atoms:
I 0.000 0.500 0.000
I 0.500 0.000 0.000
O 0.500 0.500 0.500
O 0.000 0.000 0.500
Cu 0.000 0.000 0.000



(2)
Entry from the Alexandria database: a geometry-optimized YMgCu structure (PBE).

Values from the calculation:
The formation enthalpy at 0 K comes out at -159 meV per atom. As for the space group: P4/nmm. The total energy comes out at -4.21 eV per atom. As for the crystal system: tetragonal. For the size of the total moment, the calculation gives 0.00 μB per cell. The calculation puts the polymorph energy (0 for the lowest one) at 17 kJ/mol of formula units.

Lattice parameters (Å, degrees): 4.161 4.161 7.579 90.00 90.00 90.00
Fractional coordinates of all 6 atoms:
Cu 0.250 0.250 0.250
Cu 0.750 0.750 0.750
Mg 0.250 0.750 0.500
Mg 0.750 0.250 0.500
Y 0.750 0.750 0.144
Y 0.250 0.250 0.856



(3)
Entry from the Alexandria database: a geometry-optimized Tb3Zn9Rh2 structure (PBE).

Values from the calculation:
The formation enthalpy at 0 K comes out at -440 meV per atom. As for the space group: Immm. The total energy comes out at -3.30 eV per atom. As for the crystal system: orthorhombic. For the size of the total moment, the calculation gives 0.00 μB per cell.

Lattice parameters (Å, degrees): 4.348 8.070 8.070 68.49 74.37 74.37
Fractional coordinates of all 14 atoms:
Zn 0.337 0.303 0.023
Zn 0.663 0.977 0.697
Zn 0.127 0.151 0.594
Zn 0.663 0.697 0.977
Zn 0.337 0.023 0.303
Zn 0.000 0.500 0.500
Zn 0.873 0.406 0.849
Zn 0.127 0.594 0.151
Zn 0.873 0.849 0.406
Rh 0.500 0.683 0.317
Rh 0.500 0.317 0.683
Tb 0.692 0.308 0.308
Tb 0.000 0.000 0.000
Tb 0.308 0.692 0.692



(4)
Entry from the Alexandria database: a geometry-optimized La3ThAl8 structure (PBE).

Values from the calculation:
The formation enthalpy at 0 K comes out at -464 meV per atom. As for the space group: P3m1. The total energy comes out at -4.81 eV per atom. As for the crystal system: trigonal. For the size of the total moment, the calculation gives 0.00 μB per cell. The calculation puts the polymorph energy (0 for the lowest one) at 12 kJ/mol of formula units.

Lattice parameters (Å, degrees): 5.715 5.715 9.463 90.00 90.00 120.00
Fractional coordinates of all 12 atoms:
Al 0.504 0.496 0.747
Al 0.163 0.325 0.253
Al 0.163 0.837 0.253
Al 0.993 0.496 0.747
Al 0.675 0.837 0.253
Al 0.504 0.007 0.747
Al 0.333 0.667 0.500
Al 0.333 0.667 0.001
La 0.667 0.333 0.430
La 0.667 0.333 0.068
La 0.000 0.000 0.933
Th 0.000 0.000 0.569



(5)
Entry from the Alexandria database: a geometry-optimized AlVPd3 structure (PBE).

Values from the calculation:
The formation enthalpy at 0 K comes out at 664 meV per atom. As for the space group: Pm-3m. The total energy comes out at -5.02 eV per atom. As for the crystal system: cubic. For the size of the total moment, the calculation gives 1.62 μB per cell. The calculation puts the polymorph energy (0 for the lowest one) at 169 kJ/mol of formula units.

Lattice parameters (Å, degrees): 4.627 4.627 4.627 90.00 90.00 90.00
Fractional coordinates of all 5 atoms:
Pd 0.500 0.000 0.000
Pd 0.000 0.500 0.000
Pd 0.000 0.000 0.500
Al 0.500 0.500 0.500
V 0.000 0.000 0.000



(6)
Entry from the Alexandria database: a geometry-optimized TeI2Br structure (PBE).

Values from the calculation:
The formation energy (no corrections) is 276 meV per atom. As for the space group: I-42d. The total energy comes out at -1.70 eV per atom. As for the crystal system: tetragonal. For the size of the total moment, the calculation gives 0.00 μB per cell. The calculation puts the polymorph energy (0 for the lowest one) at 155 kJ/mol of formula units.

Lattice parameters (Å, degrees): 6.688 6.688 10.074 70.61 70.61 90.00
Fractional coordinates of all 8 atoms:
I 0.715 0.125 0.250
I 0.035 0.625 0.250
I 0.375 0.285 0.750
I 0.875 0.965 0.750
Te 0.750 0.250 0.500
Te 0.000 0.000 0.000
Br 0.500 0.500 0.000
Br 0.250 0.750 0.500



(7)
Entry from the Alexandria database: a geometry-optimized Ba3AlZn2 structure (PBE).

Values from the calculation:
The formation enthalpy at 0 K comes out at -114 meV per atom. As for the space group: P2_1/c. The total energy comes out at -2.12 eV per atom. As for the crystal system: monoclinic. For the size of the total moment, the calculation gives 0.00 μB per cell.

Lattice parameters (Å, degrees): 8.683 11.223 10.438 90.00 125.48 90.00
Fractional coordinates of all 24 atoms:
Ba 0.457 0.454 0.240
Ba 0.543 0.546 0.760
Ba 0.654 0.116 0.877
Ba 0.043 0.954 0.260
Ba 0.346 0.884 0.123
Ba 0.697 0.163 0.325
Ba 0.197 0.337 0.825
Ba 0.154 0.384 0.377
Ba 0.803 0.663 0.175
Ba 0.303 0.837 0.675
Ba 0.957 0.046 0.740
Ba 0.846 0.616 0.623
Zn 0.700 0.367 0.072
Zn 0.300 0.633 0.928
Zn 0.682 0.316 0.629
Zn 0.318 0.684 0.371
Zn 0.182 0.184 0.129
Zn 0.800 0.867 0.428
Zn 0.200 0.133 0.572
Zn 0.818 0.816 0.871
Al 0.561 0.879 0.526
Al 0.939 0.379 0.974
Al 0.439 0.121 0.474
Al 0.061 0.621 0.026



(8)
Entry from the Alexandria database: a geometry-optimized CuH2F structure (PBE).

Values from the calculation:
As for the space group: Fm-3m. The total energy comes out at -2.77 eV per atom. As for the crystal system: cubic. For the size of the total moment, the calculation gives 0.00 μB per cell. The calculation puts the polymorph energy (0 for the lowest one) at 121 kJ/mol of formula units.

Lattice parameters (Å, degrees): 3.437 3.437 3.437 60.00 60.00 60.00
Fractional coordinates of all 4 atoms:
F 0.000 0.000 0.000
H 0.750 0.750 0.750
H 0.250 0.250 0.250
Cu 0.500 0.500 0.500



(9)
Entry from the Alexandria database: a geometry-optimized CaNpGaO5 structure (PBE).

Values from the calculation:
The formation energy (no corrections) is -2643 meV per atom. As for the space group: C2/c. The total energy comes out at -7.99 eV per atom. As for the crystal system: monoclinic. For the size of the total moment, the calculation gives 4.00 μB per cell.

Lattice parameters (Å, degrees): 5.884 5.884 7.834 103.90 103.90 107.25
Fractional coordinates of all 16 atoms:
O 0.085 0.675 0.875
O 0.915 0.325 0.125
O 0.731 0.629 0.416
O 0.269 0.371 0.584
O 0.675 0.085 0.375
O 0.325 0.915 0.625
O 0.089 0.911 0.250
O 0.911 0.089 0.750
O 0.371 0.269 0.084
O 0.629 0.731 0.916
Ga 0.317 0.683 0.750
Ga 0.683 0.317 0.250
Ca 0.665 0.335 0.750
Ca 0.335 0.665 0.250
Np 0.000 0.000 0.500
Np 0.000 0.000 0.000



(10)
Entry from the Alexandria database: a geometry-optimized PrScZnIn structure (PBE).

Values from the calculation:
The formation enthalpy at 0 K comes out at -355 meV per atom. As for the space group: F-43m. The total energy comes out at -4.14 eV per atom. As for the crystal system: cubic. For the size of the total moment, the calculation gives 0.00 μB per cell.

Lattice parameters (Å, degrees): 5.174 5.174 5.174 60.00 60.00 60.00
Fractional coordinates of all 4 atoms:
In 0.500 0.500 0.500
Sc 0.750 0.750 0.750
Zn 0.000 0.000 0.000
Pr 0.250 0.250 0.250



(11)
Entry from the Alexandria database: a geometry-optimized AcPm2TmSe6 structure (PBE).

Values from the calculation:
The formation energy (no corrections) is -1865 meV per atom. As for the space group: R3. The total energy comes out at -5.76 eV per atom. As for the crystal system: trigonal. For the size of the total moment, the calculation gives 0.00 μB per cell.

Lattice parameters (Å, degrees): 7.466 7.466 7.887 61.74 61.74 60.00
Fractional coordinates of all 10 atoms:
Se 0.716 0.143 0.752
Se 0.931 0.600 0.248
Se 0.222 0.931 0.248
Se 0.143 0.389 0.752
Se 0.389 0.716 0.752
Se 0.600 0.222 0.248
Ac 0.808 0.808 0.576
Pm 0.013 0.013 0.962
Pm 0.521 0.521 0.437
Tm 0.320 0.320 0.040



(12)
Entry from the Alexandria database: a geometry-optimized CoNi6H4 structure (PBE).

Values from the calculation:
As for the space group: Cm. The total energy comes out at -4.96 eV per atom. As for the crystal system: monoclinic. For the size of the total moment, the calculation gives 3.09 μB per cell.

Lattice parameters (Å, degrees): 5.035 5.035 5.043 59.84 59.84 89.59
Fractional coordinates of all 11 atoms:
H 0.250 0.250 0.046
H 0.743 0.257 0.046
H 0.257 0.743 0.046
H 0.750 0.750 0.545
Ni 0.002 0.496 0.546
Ni 0.000 0.000 0.552
Ni 0.998 0.503 0.044
Ni 0.503 0.998 0.044
Ni 0.496 0.002 0.546
Ni 0.500 0.500 0.538
Co 0.000 0.000 0.044